[1]
Cs3Na3MnCl8: optimized geometry, PBE.

a b c (Å): 9.255 9.255 9.255
angles (deg): 54.39 54.39 54.39
Sites, in units of the cell vectors:
Cs  0.000  0.500  0.500
Cs  0.500  0.000  0.500
Cs  0.500  0.500  0.000
Na  0.000  0.000  0.500
Na  0.000  0.500  0.000
Na  0.500  0.000  0.000
Mn  0.500  0.500  0.500
Cl  0.231  0.231  0.231
Cl  0.262  0.709  0.709
Cl  0.291  0.291  0.738
Cl  0.291  0.738  0.291
Cl  0.709  0.262  0.709
Cl  0.709  0.709  0.262
Cl  0.738  0.291  0.291
Cl  0.769  0.769  0.769

Values from the calculation:
Formation energy (no corrections) = -1.693 eV per atom
Density of states at the Fermi level = 0.000 states/eV/atom
M_tot = 0.333 μB/atom
Theoretical density = 2.747 Mg/m³


[2]
SbTe4: optimized geometry, PBE.

a b c (Å): 7.177 7.177 7.177
angles (deg): 94.18 94.18 148.68
Sites, in units of the cell vectors:
Sb  0.000  0.000  0.000
Te  0.275  0.363  0.638
Te  0.363  0.725  0.088
Te  0.637  0.275  0.912
Te  0.725  0.637  0.362

Values from the calculation:
Formation energy (no corrections) = 0.170 eV per atom
Density of states at the Fermi level = 0.545 states/eV/atom
Polymorph energy (0 for the lowest one) = 0.000 eV/f.u.
M_tot = 0.000 μB/atom
Theoretical density = 5.674 Mg/m³


[3]
Cs2ScTl2: optimized geometry, PBE.

a b c (Å): 7.983 7.983 6.769
angles (deg): 90.00 90.00 90.00
Sites, in units of the cell vectors:
Cs  0.175  0.325  0.000
Cs  0.325  0.825  0.000
Cs  0.675  0.175  0.000
Cs  0.825  0.675  0.000
Sc  0.000  0.000  0.500
Sc  0.500  0.500  0.500
Tl  0.146  0.646  0.500
Tl  0.354  0.146  0.500
Tl  0.646  0.854  0.500
Tl  0.854  0.354  0.500

Values from the calculation:
Density of states at the Fermi level = 1.372 states/eV/atom
M_tot = 0.242 μB/atom
Calculated formation energy = 225 meV/atom
Theoretical density = 5.539 Mg/m³


[4]
Ba7InPt2Au2: optimized geometry, PBE.

a b c (Å): 13.449 13.449 13.449
angles (deg): 152.28 39.68 152.18
Sites, in units of the cell vectors:
Ba  0.000  0.000  0.000
Ba  0.137  0.522  0.615
Ba  0.264  0.022  0.242
Ba  0.408  0.520  0.888
Ba  0.633  0.520  0.112
Ba  0.780  0.022  0.758
Ba  0.908  0.522  0.385
In  0.592  0.092  0.500
Pt  0.142  0.023  0.119
Pt  0.904  0.023  0.881
Au  0.273  0.522  0.751
Au  0.770  0.522  0.249

Values from the calculation:
Density of states at the Fermi level = 1.009 states/eV/atom
M_tot = 0.000 μB/atom
Calculated formation energy = -535 meV/atom
Theoretical density = 5.861 Mg/m³


[5]
SrAc6CoOs: optimized geometry, PBE.

a b c (Å): 7.349 7.349 9.574
angles (deg): 90.00 90.00 120.00
Sites, in units of the cell vectors:
Sr  0.000  0.000  0.000
Ac  0.350  0.006  0.668
Ac  0.350  0.344  0.332
Ac  0.656  0.006  0.332
Ac  0.656  0.650  0.668
Ac  0.994  0.344  0.668
Ac  0.994  0.650  0.332
Co  0.667  0.333  0.500
Os  0.333  0.667  0.500

Values from the calculation:
Density of states at the Fermi level = 1.045 states/eV/atom
M_tot = 0.000 μB/atom
Calculated formation energy = 121 meV/atom
Theoretical density = 6.299 Mg/m³


[6]
Tl2TcBr: optimized geometry, PBE.

a b c (Å): 9.062 9.062 9.062
angles (deg): 22.82 22.82 22.82
Sites, in units of the cell vectors:
Tl  0.242  0.242  0.242
Tl  0.758  0.758  0.758
Tc  0.500  0.500  0.500
Br  0.000  0.000  0.000

Values from the calculation:
Formation energy (no corrections) = 0.491 eV per atom
Density of states at the Fermi level = 0.745 states/eV/atom
Polymorph energy (0 for the lowest one) = 0.600 eV/f.u.
M_tot = 0.510 μB/atom
Theoretical density = 9.917 Mg/m³